# 1
Material: Dy4ScCd2
Method: DFT, GGA-PBE
State: optimized geometry

## Properties
Total DFT energy (no corrections) ... -3.68 eV per atom
Magnetic moment ... 0.00 μB/f.u.
Density of states at the Fermi level ... 9.91 states/eV/cell

Structure (POSCAR):
```
Dy4ScCd2
1.0
-3.2890 3.8112 -1.9672
-5.1553 -1.1877 -1.1066
-5.0068 3.0490 6.8532
Cd Dy Sc
2 4 1
Cartesian
-5.9739 2.0907 -0.8115
-7.4772 3.5819 4.5909
-4.1475 2.1967 3.7652
-3.2699 1.3260 0.6110
-10.1812 4.3466 3.1684
-9.3036 3.4759 0.0142
-6.7255 2.8363 1.8897
```

# 2
Material: CoCuPt2
Method: DFT, GGA-PBE
State: optimized geometry

## Properties
Total DFT energy (no corrections) ... -5.88 eV per atom
Magnetic moment ... 2.57 μB/f.u.
Density of states at the Fermi level ... 3.52 states/eV/cell

Structure (POSCAR):
```
CoCuPt2
1.0
2.7148 0.0000 0.0000
0.0000 3.8056 0.0000
0.0000 0.0000 5.3632
Pt Cu Co
2 1 1
Cartesian
1.3574 1.9028 1.4634
0.0000 0.0000 5.2599
1.3574 1.9028 4.0219
0.0000 0.0000 2.6628
```

# 3
Material: NiGe4Pt2
Method: DFT, GGA-PBE
State: optimized geometry

## Properties
Total DFT energy (no corrections) ... -5.43 eV per atom
Magnetic moment ... 0.00 μB/f.u.
Density of states at the Fermi level ... 12.63 states/eV/cell

Structure (POSCAR):
```
NiGe4Pt2
1.0
-2.1739 1.2810 -1.5451
6.3841 -2.6988 -11.2197
-5.8723 -10.8486 -0.7318
Ge Pt Ni
16 8 4
Cartesian
1.8901 -4.1095 -10.3157
-3.5522 -8.1569 -3.1809
2.1685 -8.8249 -11.7838
-5.4930 -10.2317 -5.0034
-0.5798 -9.9119 -8.8181
-0.7055 -11.3493 -12.6658
1.1230 -1.5364 -7.1031
0.5433 -5.3927 -6.6516
-3.8307 -3.4415 -1.7128
0.1896 -6.9800 -10.3028
3.8308 -2.0347 -8.4932
-2.2054 -6.8737 -6.8451
-2.7851 -10.7300 -6.3935
-1.8518 -5.2864 -3.1938
-0.9566 -0.9171 -0.8308
-1.0823 -2.3545 -4.6785
0.0415 -7.6205 -7.7926
-1.2853 -3.0074 -2.1014
-0.3769 -9.2590 -11.3952
-1.7036 -4.6459 -5.7040
-3.8407 -8.4117 -5.8193
2.1785 -3.8547 -7.6774
-5.1810 -10.0223 -2.4358
3.5189 -2.2441 -11.0608
-3.0012 -10.6512 -8.8571
-4.2611 -5.7323 -3.0065
1.3390 -1.6152 -4.6395
2.5989 -6.5341 -10.4901
```

# 4
Material: CrTcTe
Method: DFT, GGA-PBE
State: optimized geometry

## Properties
Excess energy over the best structure of this formula in the dataset ... 34 meV/atom
Magnetic moment ... 0.00 μB/f.u.
Density of states at the Fermi level ... 8.16 states/eV/cell
E_form (uncorrected) ... 0.02 eV/atom

Structure (POSCAR):
```
CrTcTe
1.0
-0.1694 -1.1694 3.8792
-2.2723 -1.8777 -2.7849
19.9612 -17.5866 -4.4300
Cr Te Tc
6 6 6
Cartesian
1.3530 -1.1920 -0.3003
5.7458 -8.0883 -2.1874
7.1363 -8.4597 -0.1191
13.9709 -12.3089 -3.1006
-0.2070 -1.9900 1.5106
13.0891 -14.5580 -3.8171
4.9370 -6.5220 0.3690
9.0167 -10.1164 -0.5364
19.1149 -16.8409 -4.2422
10.8898 -12.6203 -3.3290
14.9694 -16.2147 -4.2344
3.2333 -2.8487 -0.7176
14.5208 -14.9657 -1.7579
0.5123 -3.4774 -1.0259
12.6774 -13.3416 -1.3488
-1.3311 -1.8533 -0.6168
8.7374 -7.6980 -1.9391
6.8940 -6.0739 -1.5300
```

# 5
Material: Pa3Tl4AgO12
Method: DFT, GGA-PBE
State: optimized geometry

## Properties
Magnetic moment ... 0.00 μB/f.u.
Density of states at the Fermi level ... 7.77 states/eV/cell
E_form (uncorrected) ... -2.00 eV/atom

Structure (POSCAR):
```
Pa3Tl4AgO12
1.0
7.5448 0.0000 0.0000
-2.5149 7.1133 0.0000
-2.5149 -3.5567 6.1603
Pa Ag O Tl
3 1 12 4
Cartesian
2.5149 -1.7783 3.0802
-2.5149 1.7783 3.0802
2.5149 3.5567 0.0000
0.0000 0.0000 0.0000
-1.2575 3.5567 3.0802
3.7724 0.0000 3.0802
-1.2852 0.9087 1.5740
3.7447 5.2958 0.0000
-1.2575 0.8892 4.6202
3.7447 -2.6479 4.5863
3.7724 2.6675 1.5401
1.2575 4.4458 1.5401
-3.7447 2.6479 4.5863
1.2852 1.8175 0.0000
1.2575 -0.8892 4.6202
1.2852 -0.9087 1.5740
-1.2575 -1.7783 3.0802
3.7724 0.0000 0.0000
-1.2575 3.5567 0.0000
1.2575 1.7783 3.0802
```

# 6
Material: ZnCu2Te
Method: DFT, GGA-PBE
State: optimized geometry

## Properties
Excess energy over the best structure of this formula in the dataset ... 212 meV/atom
Magnetic moment ... 0.00 μB/f.u.
Density of states at the Fermi level ... 1.26 states/eV/cell
E_form (uncorrected) ... 0.30 eV/atom

Structure (POSCAR):
```
ZnCu2Te
1.0
4.9043 0.1187 0.0000
-1.4480 4.6872 0.0000
0.0000 0.0000 2.9383
Cu Te Zn
2 1 1
Cartesian
1.7282 2.4029 0.0000
0.0000 0.0000 0.0000
2.4522 0.0593 1.4692
-0.7240 2.3436 1.4692
```

- Which value of magnetic moment does entry 4 give?
  0.00 μB/f.u.

- Look up the density of states at the Fermi level of the sixth one.
  1.26 states/eV/cell

- Which value of density of states at the Fermi level does entry 6 give?
  1.26 states/eV/cell